First-principles (GGA-PBE) data for an optimized crystal structure of CePm2SmCo2, as listed in Alexandria.

abc: 8.0250 8.0250 8.0250
angles: 128.58 74.39 130.21
Closest atoms and distances in Å follow each position.
Element x y z (fractional)
Ce: 0.2500 0.2500 0.0000  4 Co 2.53
Ce: 0.7500 0.7500 0.0000  4 Co 2.53
Pm: 0.2015 0.2003 0.4018  1 Co 2.72
Pm: 0.2985 0.7003 0.9988  1 Co 2.72
Pm: 0.7015 0.2997 0.0012  1 Co 2.72
Pm: 0.7985 0.7997 0.5982  1 Co 2.72
Sm: 0.2500 0.7500 0.5000  4 Co 2.88
Sm: 0.7500 0.2500 0.5000  4 Co 2.88
Co: 0.0917 0.7895 0.8813  2 Ce 2.53, 1 Pm 2.72
Co: 0.4083 0.2895 0.6978  2 Ce 2.53, 1 Pm 2.72
Co: 0.5917 0.7105 0.3022  2 Ce 2.53, 1 Pm 2.72
Co: 0.9083 0.2105 0.1187  2 Ce 2.53, 1 Pm 2.72

Values from the calculation:
For the formation energy from the elements, the calculation gives -0.51 eV per formula unit. The magnetization comes out at 0.000 μB per formula unit. The space group is Ibam (72).

---

First-principles (GGA-PBE) data for an optimized crystal structure of HRhS2, as listed in Alexandria.

abc: 4.8031 4.9614 9.5344
angles: 90.00 90.00 90.00
Closest atoms and distances in Å follow each position.
Element x y z (fractional)
H: 0.2124 0.2500 0.1280  1 S 1.36
H: 0.2876 0.7500 0.6280  1 S 1.36
H: 0.7124 0.2500 0.3720  1 S 1.36
H: 0.7876 0.7500 0.8720  1 S 1.36
Rh: 0.0101 0.7500 0.3459  6 S 2.28-2.52
Rh: 0.4899 0.2500 0.8459  6 S 2.28-2.52
Rh: 0.5101 0.7500 0.1541  6 S 2.28-2.52
Rh: 0.9899 0.2500 0.6541  6 S 2.28-2.52
S: 0.0067 0.7500 0.6095  1 H 1.36
S: 0.0145 0.7500 0.1071  3 Rh 2.28-2.46, 1 H 2.49
S: 0.4855 0.2500 0.6071  3 Rh 2.28-2.46, 1 H 2.49
S: 0.4933 0.2500 0.1095  1 H 1.36
S: 0.5067 0.7500 0.8905  1 H 1.36
S: 0.5145 0.7500 0.3929  3 Rh 2.28-2.46, 1 H 2.49
S: 0.9855 0.2500 0.8929  3 Rh 2.28-2.46, 1 H 2.49
S: 0.9933 0.2500 0.3905  1 H 1.36

Values from the calculation:
The magnetization comes out at 0.000 μB per formula unit. For the distance to the lowest polymorph of the same formula, the calculation gives 0.2021 eV/atom. The space group is Pnma (62).

---

First-principles (GGA-PBE) data for an optimized crystal structure of K2GdF5, as listed in Alexandria.

abc: 11.0011 7.4463 6.7208
angles: 90.00 90.00 90.00
Closest atoms and distances in Å follow each position.
Element x y z (fractional)
K: 0.1713 0.0029 0.0308  8 F 2.69-2.92
K: 0.1713 0.4971 0.0308  8 F 2.69-2.92
K: 0.3287 0.5029 0.5308  8 F 2.69-2.92
K: 0.3287 0.9971 0.5308  8 F 2.69-2.92
K: 0.6713 0.0029 0.4692  8 F 2.69-2.92
K: 0.6713 0.4971 0.4692  8 F 2.69-2.92
K: 0.8287 0.5029 0.9692  8 F 2.69-2.92
K: 0.8287 0.9971 0.9692  8 F 2.69-2.92
Gd: 0.0026 0.2500 0.5646  7 F 2.24-2.34
Gd: 0.4974 0.7500 0.0646  7 F 2.24-2.34
Gd: 0.5026 0.2500 0.9354  7 F 2.24-2.34
Gd: 0.9974 0.7500 0.4354  7 F 2.24-2.34
F: 0.0122 0.2500 0.8983  1 Gd 2.24
F: 0.0784 0.5340 0.6471  2 Gd 2.33-2.34
F: 0.0784 0.9660 0.6471  2 Gd 2.33-2.34
F: 0.1680 0.2500 0.3683  1 Gd 2.25
F: 0.1939 0.7500 0.3363  1 Gd 2.26
F: 0.3061 0.2500 0.8363  1 Gd 2.26
F: 0.3320 0.7500 0.8683  1 Gd 2.25
F: 0.4216 0.0340 0.1471  2 Gd 2.33-2.34
F: 0.4216 0.4660 0.1471  2 Gd 2.33-2.34
F: 0.4878 0.7500 0.3983  1 Gd 2.24
F: 0.5122 0.2500 0.6017  1 Gd 2.24
F: 0.5784 0.5340 0.8529  2 Gd 2.33-2.34
F: 0.5784 0.9660 0.8529  2 Gd 2.33-2.34
F: 0.6680 0.2500 0.1317  1 Gd 2.25
F: 0.6939 0.7500 0.1637  1 Gd 2.26
F: 0.8061 0.2500 0.6637  1 Gd 2.26
F: 0.8320 0.7500 0.6317  1 Gd 2.25
F: 0.9216 0.0340 0.3529  2 Gd 2.33-2.34
F: 0.9216 0.4660 0.3529  2 Gd 2.33-2.34
F: 0.9878 0.7500 0.1017  1 Gd 2.24

Values from the calculation:
The magnetization comes out at 6.998 μB per formula unit. The calculation puts the uncorrected formation energy at -3.467 eV per atom. The space group is Pnma (62).

---

What is the formula in the first record? CePm2SmCo2

---

Copy entry 3 word for word.
First-principles (GGA-PBE) data for an optimized crystal structure of K2GdF5, as listed in Alexandria.

abc: 11.0011 7.4463 6.7208
angles: 90.00 90.00 90.00
Closest atoms and distances in Å follow each position.
Element x y z (fractional)
K: 0.1713 0.0029 0.0308  8 F 2.69-2.92
K: 0.1713 0.4971 0.0308  8 F 2.69-2.92
K: 0.3287 0.5029 0.5308  8 F 2.69-2.92
K: 0.3287 0.9971 0.5308  8 F 2.69-2.92
K: 0.6713 0.0029 0.4692  8 F 2.69-2.92
K: 0.6713 0.4971 0.4692  8 F 2.69-2.92
K: 0.8287 0.5029 0.9692  8 F 2.69-2.92
K: 0.8287 0.9971 0.9692  8 F 2.69-2.92
Gd: 0.0026 0.2500 0.5646  7 F 2.24-2.34
Gd: 0.4974 0.7500 0.0646  7 F 2.24-2.34
Gd: 0.5026 0.2500 0.9354  7 F 2.24-2.34
Gd: 0.9974 0.7500 0.4354  7 F 2.24-2.34
F: 0.0122 0.2500 0.8983  1 Gd 2.24
F: 0.0784 0.5340 0.6471  2 Gd 2.33-2.34
F: 0.0784 0.9660 0.6471  2 Gd 2.33-2.34
F: 0.1680 0.2500 0.3683  1 Gd 2.25
F: 0.1939 0.7500 0.3363  1 Gd 2.26
F: 0.3061 0.2500 0.8363  1 Gd 2.26
F: 0.3320 0.7500 0.8683  1 Gd 2.25
F: 0.4216 0.0340 0.1471  2 Gd 2.33-2.34
F: 0.4216 0.4660 0.1471  2 Gd 2.33-2.34
F: 0.4878 0.7500 0.3983  1 Gd 2.24
F: 0.5122 0.2500 0.6017  1 Gd 2.24
F: 0.5784 0.5340 0.8529  2 Gd 2.33-2.34
F: 0.5784 0.9660 0.8529  2 Gd 2.33-2.34
F: 0.6680 0.2500 0.1317  1 Gd 2.25
F: 0.6939 0.7500 0.1637  1 Gd 2.26
F: 0.8061 0.2500 0.6637  1 Gd 2.26
F: 0.8320 0.7500 0.6317  1 Gd 2.25
F: 0.9216 0.0340 0.3529  2 Gd 2.33-2.34
F: 0.9216 0.4660 0.3529  2 Gd 2.33-2.34
F: 0.9878 0.7500 0.1017  1 Gd 2.24

Values from the calculation:
The magnetization comes out at 6.998 μB per formula unit. The calculation puts the uncorrected formation energy at -3.467 eV per atom. The space group is Pnma (62).

---

Look up the magnetization of the third one. 6.998 μB per formula unit